Material: Ni2Se3
Method: DFT, PBE-GGA
State: relaxed

* E_form (uncorrected): -0.1838 eV/atom
* crystal system: trigonal

abc: 3.4902 3.4902 8.5567
angles: 90.00 90.00 120.00
Last column: nearest neighbours and their distance in Å.
Space group P-3m1 (No. 164)
Asymmetric unit:
1 Ni 0.3333 0.6667 0.3115  6 Se 2.35-2.58
2 Se 0.0000 0.0000 0.5000  6 Ni 2.58
3 Se 0.3333 0.6667 0.8287  3 Ni 2.35


Material: Cd2BiHF
Method: DFT, PBE-GGA
State: relaxed

* energy: -2.299 eV/atom
* crystal system: tetragonal

abc: 5.7792 5.7792 3.9885
angles: 90.00 90.00 90.00
Last column: nearest neighbours and their distance in Å.
Space group P4/mmm (No. 123)
Asymmetric unit:
1 Cd 0.0000 0.5000 0.0000  2 Bi 2.89
2 Bi 0.0000 0.0000 0.0000  2 H 1.99
3 H 0.0000 0.0000 0.5000  2 Bi 1.99
4 F 0.5000 0.5000 0.5000  8 Cd 3.51


Material: Dy2ZnAu6
Method: DFT, PBE-GGA
State: relaxed

* energy: -3.931 eV/atom
* crystal system: monoclinic

abc: 10.8488 6.2510 5.4347
angles: 90.00 90.06 90.00
Last column: nearest neighbours and their distance in Å.
Space group C2/m (No. 12)
Asymmetric unit:
1 Dy 0.1665 0.0000 0.1756  12 Au 3.09-3.26
2 Zn 0.0000 0.5000 0.0000  6 Au 2.58
3 Au 0.0908 0.2280 0.6938  1 Zn 2.58, 3 Au 2.85-2.88
4 Au 0.1817 0.5000 0.3055  1 Zn 2.58, 4 Au 2.85-2.88


Material: TaCd2P
Method: DFT, PBE-GGA
State: relaxed

* energy: -4.134 eV/atom
* crystal system: tetragonal

abc: 5.1916 5.1916 2.9224
angles: 90.00 90.00 90.00
Last column: nearest neighbours and their distance in Å.
Space group P4/mmm (No. 123)
Asymmetric unit:
1 Ta 0.0000 0.0000 0.0000  2 Ta 2.92, 8 Cd 2.98
2 Cd 0.0000 0.5000 0.5000  2 Cd 2.92, 4 Ta 2.98, 4 P 2.98
3 P 0.5000 0.5000 0.0000  2 P 2.92, 8 Cd 2.98


Material: CaY3Zn2
Method: DFT, PBE-GGA
State: relaxed

* energy: -4.193 eV/atom
* crystal system: tetragonal

abc: 3.6322 3.6322 12.5180
angles: 90.00 90.00 90.00
Last column: nearest neighbours and their distance in Å.
Space group P4/mmm (No. 123)
Asymmetric unit:
1 Ca 0.0000 0.0000 0.0000  4 Ca 3.63, 8 Y 3.81
2 Y 0.5000 0.5000 0.2250  4 Zn 3.06
3 Y 0.5000 0.5000 0.5000  8 Zn 3.12, 2 Y 3.44
4 Zn 0.0000 0.0000 0.3579  8 Y 3.06-3.12


Material: ScTl
Method: DFT, PBE-GGA
State: relaxed

* energy: -4.362 eV/atom
* crystal system: tetragonal

abc: 11.1907 11.1907 3.4247
angles: 90.00 90.00 90.00
Last column: nearest neighbours and their distance in Å.
Space group I4/m (No. 87)
Asymmetric unit:
1 Sc 0.0948 0.6389 0.0000  4 Tl 3.03-3.17, 4 Sc 3.17
2 Tl 0.0972 0.1701 0.0000  4 Sc 3.03-3.17, 2 Tl 3.10


Material: MgTi
Method: DFT, PBE-GGA
State: relaxed

* energy: -4.070 eV/atom
* crystal system: tetragonal

abc: 5.4709 5.4709 5.5800
angles: 90.00 90.00 90.00
Last column: nearest neighbours and their distance in Å.
Space group P4_2/mnm (No. 136)
Asymmetric unit:
1 Mg 0.1783 0.1783 0.0000  1 Mg 2.76, 6 Ti 2.79-2.93
2 Ti 0.1654 0.1654 0.5000  1 Ti 2.56, 4 Mg 2.79-2.80


Material: KNaPb6
Method: DFT, PBE-GGA
State: relaxed

* energy: -3.166 eV/atom
* crystal system: orthorhombic

abc: 5.7661 7.2187 6.1383
angles: 90.00 90.00 90.00
Last column: nearest neighbours and their distance in Å.
Space group Pmm2 (No. 25)
Asymmetric unit:
1 K 0.0000 0.0000 0.0000  12 Pb 3.61-3.73
2 Na 0.5000 0.5000 0.3191  12 Pb 3.47-3.63
3 Pb 0.0000 0.2645 0.4985  7 Pb 3.40-3.57, 2 Na 3.52, 2 K 3.61-3.62
4 Pb 0.0000 0.5000 0.9862  8 Pb 3.44-3.57, 2 Na 3.53, 2 K 3.61
5 Pb 0.5000 0.0000 0.3867  6 Pb 3.32-3.53, 2 Na 3.63
6 Pb 0.5000 0.2718 0.8223  6 Pb 3.30-3.50, 2 Na 3.47-3.50, 2 K 3.65


Material: BaNb2Os
Method: DFT, PBE-GGA
State: relaxed

* crystal system: tetragonal
* distance to the lowest polymorph of the same formula: 207 meV/atom

abc: 5.2232 5.2232 17.6651
angles: 90.00 90.00 90.00
Last column: nearest neighbours and their distance in Å.
Space group I4_1/amd (No. 141, origin choice 2)
Asymmetric unit:
1 Ba 0.0000 0.2500 0.3750  8 Nb 3.66, 4 Os 3.69
2 Nb 0.0000 0.0000 0.0000  2 Os 2.57, 2 Nb 2.61
3 Os 0.0000 0.2500 0.8750  4 Nb 2.57


Material: DyErRuPt
Method: DFT, PBE-GGA
State: relaxed

* crystal system: tetragonal
* distance to the lowest polymorph of the same formula: 0 meV/atom

abc: 3.4573 3.4573 6.7396
angles: 90.00 90.00 90.00
Last column: nearest neighbours and their distance in Å.
Space group P4mm (No. 99)
Asymmetric unit:
1 Dy 0.0000 0.0000 0.0000  4 Ru 2.96, 4 Pt 3.00, 1 Er 3.30
2 Er 0.0000 0.0000 0.4894  4 Ru 2.94, 4 Pt 2.98
3 Ru 0.5000 0.5000 0.2471  4 Er 2.94, 4 Dy 2.96
4 Pt 0.5000 0.5000 0.7415  4 Er 2.98, 4 Dy 3.00, 1 Ru 3.33


Material: YNi2Mo
Method: DFT, PBE-GGA
State: relaxed

* crystal system: orthorhombic
* distance to the lowest polymorph of the same formula: 290 meV/atom

abc: 2.8996 4.5452 9.6493
angles: 90.00 90.00 90.00
Last column: nearest neighbours and their distance in Å.
Space group Imm2 (No. 44)
Asymmetric unit:
1 Y 0.0000 0.0000 0.0000  6 Ni 2.70-3.00, 2 Y 2.90
2 Ni 0.0000 0.0000 0.5144  2 Ni 2.52, 2 Mo 2.66, 4 Y 2.70
3 Ni 0.0000 0.5000 0.2276  2 Ni 2.52, 4 Mo 2.75
4 Mo 0.0000 0.5000 0.7838  6 Ni 2.66-2.75, 2 Mo 2.90


Material: CdAg4
Method: DFT, PBE-GGA
State: relaxed

* crystal system: monoclinic
* distance to the lowest polymorph of the same formula: 180 meV/atom

abc: 4.7001 5.0029 9.7540
angles: 90.00 111.98 90.00
Last column: nearest neighbours and their distance in Å.
Space group P2_1/c (No. 14)
Asymmetric unit:
1 Cd 0.0000 0.0000 0.0000  8 Ag 2.82-2.90
2 Ag 0.2036 0.2224 0.7773  7 Ag 2.82-3.07, 2 Cd 2.87-2.90
3 Ag 0.4353 0.7242 0.9057  6 Ag 2.82-2.93, 2 Cd 2.82-2.89


Material: ZnNiAu2
Method: DFT, PBE-GGA
State: relaxed

* energy: -3.497 eV/atom
* crystal system: tetragonal

abc: 2.9096 2.9096 7.2012
angles: 90.00 90.00 90.00
Last column: nearest neighbours and their distance in Å.
Space group P4mm (No. 99)
Asymmetric unit:
1 Zn 0.0000 0.0000 0.0000  4 Ni 2.50, 4 Au 2.77
2 Ni 0.5000 0.5000 0.8035  4 Zn 2.50, 4 Au 2.70
3 Au 0.0000 0.0000 0.5605  4 Ni 2.70, 8 Au 2.91-3.00
4 Au 0.5000 0.5000 0.2580  4 Zn 2.77, 8 Au 2.91-3.00


Material: KBi3As
Method: DFT, PBE-GGA
State: relaxed

* crystal system: cubic
* distance to the lowest polymorph of the same formula: 1218 meV/atom

abc: 5.8954 5.8954 5.8954
angles: 90.00 90.00 90.00
Last column: nearest neighbours and their distance in Å.
Space group Pm-3m (No. 221)
Asymmetric unit:
1 K 0.0000 0.0000 0.0000  6 Bi 2.95
2 Bi 0.0000 0.0000 0.5000  2 K 2.95
3 As 0.5000 0.5000 0.5000  12 Bi 4.17